1:
# Cs2RbAgSe, relaxed, DFT PBE-GGA
data_Cs2RbAgSe
_space_group_name_H-M_alt 'P 4/m m m'
_space_group_IT_number 123
_space_group_name_Hall '-P 4 2'
_cell_length_a 7.211
_cell_length_b 7.211
_cell_length_c 5.726
_cell_angle_alpha 90.00
_cell_angle_beta 90.00
_cell_angle_gamma 90.00
loop_
_atom_site_label
_atom_site_type_symbol
_atom_site_fract_x
_atom_site_fract_y
_atom_site_fract_z
Cs1 Cs 0.000 0.500 0.000
Rb1 Rb 0.000 0.000 0.000
Ag1 Ag 0.000 0.000 0.500
Se1 Se 0.500 0.500 0.500
# magnetic moment = 0.0 μB per formula unit
# theoretical density = 3000 kg/m3
# D(E_F) = 0.00 states/eV per atom


2:
# Cs2RbAgSe, relaxed, DFT PBE-GGA
data_Cs2RbAgSe
_space_group_name_H-M_alt 'P 4/m m m'
_space_group_IT_number 123
_space_group_name_Hall '-P 4 2'
_cell_length_a 6.952
_cell_length_b 6.952
_cell_length_c 6.563
_cell_angle_alpha 90.00
_cell_angle_beta 90.00
_cell_angle_gamma 90.00
loop_
_atom_site_label
_atom_site_type_symbol
_atom_site_fract_x
_atom_site_fract_y
_atom_site_fract_z
Cs1 Cs 0.000 0.500 0.000
Rb1 Rb 0.000 0.000 0.500
Ag1 Ag 0.500 0.500 0.500
Se1 Se 0.000 0.000 0.000
# magnetic moment = 0.0 μB per formula unit
# theoretical density = 2817 kg/m3


Energy ordering: 2 at the bottom, the next structure 684 meV per atom above.


1:
# CsRbTl2Ag, relaxed, DFT PBE-GGA
data_CsRbTl2Ag
_space_group_name_H-M_alt 'P 4/m m m'
_space_group_IT_number 123
_space_group_name_Hall '-P 4 2'
_cell_length_a 5.831
_cell_length_b 5.831
_cell_length_c 6.611
_cell_angle_alpha 90.00
_cell_angle_beta 90.00
_cell_angle_gamma 90.00
loop_
_atom_site_label
_atom_site_type_symbol
_atom_site_fract_x
_atom_site_fract_y
_atom_site_fract_z
Cs1 Cs 0.000 0.000 0.000
Rb1 Rb 0.500 0.500 0.000
Tl1 Tl 0.000 0.500 0.500
Ag1 Ag 0.000 0.000 0.500
# magnetic moment = 0.1 μB per formula unit
# theoretical density = 5430 kg/m3
# D(E_F) = 0.84 states/eV per atom


2:
# CsRbTl2Ag, relaxed, DFT PBE-GGA
data_CsRbTl2Ag
_space_group_name_H-M_alt 'P 4/m m m'
_space_group_IT_number 123
_space_group_name_Hall '-P 4 2'
_cell_length_a 5.804
_cell_length_b 5.804
_cell_length_c 6.518
_cell_angle_alpha 90.00
_cell_angle_beta 90.00
_cell_angle_gamma 90.00
loop_
_atom_site_label
_atom_site_type_symbol
_atom_site_fract_x
_atom_site_fract_y
_atom_site_fract_z
Cs1 Cs 0.000 0.000 0.000
Rb1 Rb 0.500 0.500 0.000
Tl1 Tl 0.000 0.500 0.500
Ag1 Ag 0.500 0.500 0.500
# magnetic moment = 0.0 μB per formula unit
# theoretical density = 5559 kg/m3
# D(E_F) = 0.86 states/eV per atom


Energy ordering: 2 at the bottom, the next structure 32 meV per atom above.